No. 1
The following is a PBE calculation of a relaxed structure of Rb3H, from Alexandria via LeMat-Bulk.

Computed properties:
energy relative to the lowest polymorph listed for this composition: 29 meV/atom
M_tot: 0.0 μB/cell
V: 55.5 A^3/atom

Cell: 4.1449 4.3840 12.2088 Å, 90.00 90.00 90.00°
With the nearest neighbours (Å) after each atom.
Space group Pmm2 (No. 25)
Inequivalent atoms, fractional coordinates:
Rb 0.0000 0.0000 0.0000 x1  2 H 3.16
Rb 0.0000 0.5000 0.2889 x1  4 H 3.22
Rb 0.5000 0.5000 0.6598 x1  4 Rb 4.14-4.38
H 0.5000 0.0000 0.1956 x1  6 Rb 3.16-3.22

No. 2
The following is a PBE calculation of a relaxed structure of Tb8HgAu2, from Alexandria via LeMat-Bulk.

Computed properties:
energy relative to the lowest polymorph listed for this composition: 0 meV/atom
M_tot: 0.0 μB/cell
energy relative to the elements: -0.392 eV per atom
V: 28.4 A^3/atom

Cell: 18.0621 5.1366 7.0278 Å, 90.00 106.35 90.00°
With the nearest neighbours (Å) after each atom.
Space group C2/m (No. 12)
Inequivalent atoms, fractional coordinates:
Tb 0.0300 0.0000 0.2681 x4  1 Au 2.88, 2 Hg 3.17
Tb 0.0921 0.5000 0.9638 x4  1 Hg 3.22, 2 Au 3.32, 6 Tb 3.48-3.51
Tb 0.1705 0.5000 0.4757 x4  3 Au 2.87-3.16, 1 Hg 3.13
Tb 0.1994 0.0000 0.8267 x4  1 Au 2.89
Hg 0.0000 0.5000 0.5000 x2  8 Tb 3.13-3.22
Au 0.1841 0.0000 0.2249 x4  5 Tb 2.87-3.16

No. 3
The following is a PBE calculation of a relaxed structure of PmBi2O4F, from Alexandria via LeMat-Bulk.

Computed properties:
M_tot: 0.0 μB/cell
formation energy without anion corrections: -2.132 eV/atom
V: 16.5 A^3/atom

Cell: 3.8938 3.8938 8.7280 Å, 90.00 90.00 90.00°
With the nearest neighbours (Å) after each atom.
Space group P4/mmm (No. 123)
Inequivalent atoms, fractional coordinates:
Pm 0.0000 0.0000 0.0000 x1  8 O 2.44
Bi 0.5000 0.5000 0.2967 x2  4 O 2.25
O 0.0000 0.5000 0.1678 x4  2 Bi 2.25, 2 Pm 2.44
F 0.0000 0.0000 0.5000 x1  8 Bi 3.28, 8 O 3.49